Record 1
Compound: LaSiRh2
Source: Alexandria
Functional: GGA-PBE
Structure: relaxed

Cell lengths 3.188, 3.188, 7.097 Å; angles 90.00, 90.00, 90.00 degrees
Fractional coordinates of all 4 atoms:
La: 0.000 0.000 0.000
Si: 0.500 0.500 0.670
Rh: 0.000 0.000 0.529
Rh: 0.500 0.500 0.279

* V: 72.1 Å³/cell
* energy: -26.71 eV/f.u.
* size of the total moment: 0.000 Bohr magnetons per cell
* formation energy without anion corrections: -0.4135 eV/atom

***

Record 2
Compound: Tb12Nd3Hg5
Source: Alexandria
Functional: GGA-PBE
Structure: relaxed

Cell lengths 15.726, 15.726, 15.726 Å; angles 109.47, 109.47, 109.47 degrees
Fractional coordinates of all 80 atoms:
Tb: 0.051 0.218 0.127
Tb: 0.051 0.333 0.925
Tb: 0.075 0.627 0.408
Tb: 0.075 0.949 0.667
Tb: 0.092 0.718 0.667
Tb: 0.092 0.873 0.425
Tb: 0.127 0.051 0.218
Tb: 0.127 0.575 0.908
Tb: 0.167 0.218 0.592
Tb: 0.167 0.449 0.575
Tb: 0.218 0.127 0.051
Tb: 0.218 0.592 0.167
Tb: 0.282 0.333 0.908
Tb: 0.282 0.449 0.373
Tb: 0.333 0.908 0.282
Tb: 0.333 0.925 0.051
Tb: 0.373 0.282 0.449
Tb: 0.373 0.592 0.925
Tb: 0.408 0.075 0.627
Tb: 0.408 0.833 0.782
Tb: 0.425 0.092 0.873
Tb: 0.425 0.833 0.551
Tb: 0.449 0.373 0.282
Tb: 0.449 0.575 0.167
Tb: 0.551 0.425 0.833
Tb: 0.551 0.627 0.718
Tb: 0.575 0.167 0.449
Tb: 0.575 0.908 0.127
Tb: 0.592 0.167 0.218
Tb: 0.592 0.925 0.373
Tb: 0.627 0.408 0.075
Tb: 0.627 0.718 0.551
Tb: 0.667 0.075 0.949
Tb: 0.667 0.092 0.718
Tb: 0.718 0.551 0.627
Tb: 0.718 0.667 0.092
Tb: 0.782 0.408 0.833
Tb: 0.782 0.873 0.949
Tb: 0.833 0.551 0.425
Tb: 0.833 0.782 0.408
Tb: 0.873 0.425 0.092
Tb: 0.873 0.949 0.782
Tb: 0.908 0.127 0.575
Tb: 0.908 0.282 0.333
Tb: 0.925 0.051 0.333
Tb: 0.925 0.373 0.592
Tb: 0.949 0.667 0.075
Tb: 0.949 0.782 0.873
Nd: 0.125 0.250 0.375
Nd: 0.125 0.375 0.750
Nd: 0.250 0.375 0.125
Nd: 0.250 0.875 0.625
Nd: 0.375 0.125 0.250
Nd: 0.375 0.750 0.125
Nd: 0.625 0.250 0.875
Nd: 0.625 0.875 0.750
Nd: 0.750 0.125 0.375
Nd: 0.750 0.625 0.875
Nd: 0.875 0.625 0.250
Nd: 0.875 0.750 0.625
Hg: 0.000 0.000 0.000
Hg: 0.000 0.000 0.500
Hg: 0.000 0.500 0.000
Hg: 0.000 0.500 0.500
Hg: 0.125 0.750 0.875
Hg: 0.125 0.875 0.250
Hg: 0.250 0.125 0.875
Hg: 0.250 0.625 0.375
Hg: 0.375 0.250 0.625
Hg: 0.375 0.625 0.750
Hg: 0.500 0.000 0.000
Hg: 0.500 0.000 0.500
Hg: 0.500 0.500 0.000
Hg: 0.500 0.500 0.500
Hg: 0.625 0.375 0.250
Hg: 0.625 0.750 0.375
Hg: 0.750 0.375 0.625
Hg: 0.750 0.875 0.125
Hg: 0.875 0.125 0.750
Hg: 0.875 0.250 0.125

* V: 2993.9 Å³/cell
* energy: -63.95 eV/f.u.
* size of the total moment: 0.001 Bohr magnetons per cell
* E_form: 0.371 eV/atom

***

Record 3
Compound: Ca3SmMg8
Source: Alexandria
Functional: GGA-PBE
Structure: relaxed

Cell lengths 10.693, 10.693, 10.693 Å; angles 33.64, 33.64, 33.64 degrees
Fractional coordinates of all 12 atoms:
Ca: 0.000 0.000 0.000
Ca: 0.126 0.126 0.126
Ca: 0.624 0.624 0.624
Sm: 0.501 0.501 0.501
Mg: 0.062 0.062 0.562
Mg: 0.062 0.562 0.062
Mg: 0.065 0.563 0.563
Mg: 0.313 0.313 0.313
Mg: 0.562 0.062 0.062
Mg: 0.563 0.065 0.563
Mg: 0.563 0.563 0.065
Mg: 0.813 0.813 0.813

* V: 334.3 Å³/cell
* energy: -24.78 eV/f.u.
* size of the total moment: 0.000 Bohr magnetons per cell
* E_form: -0.108 eV/atom

***

Record 4
Compound: Tb2Sm2HoMg5
Source: Alexandria
Functional: GGA-PBE
Structure: relaxed

Cell lengths 10.601, 10.601, 5.083 Å; angles 90.00, 90.00, 90.00 degrees
Fractional coordinates of all 20 atoms:
Tb: 0.120 0.380 0.000
Tb: 0.380 0.880 0.000
Tb: 0.620 0.120 0.000
Tb: 0.880 0.620 0.000
Sm: 0.177 0.677 0.000
Sm: 0.323 0.177 0.000
Sm: 0.677 0.823 0.000
Sm: 0.823 0.323 0.000
Ho: 0.000 0.000 0.000
Ho: 0.500 0.500 0.000
Mg: 0.000 0.500 0.500
Mg: 0.068 0.197 0.500
Mg: 0.197 0.932 0.500
Mg: 0.303 0.432 0.500
Mg: 0.432 0.697 0.500
Mg: 0.500 0.000 0.500
Mg: 0.568 0.303 0.500
Mg: 0.697 0.568 0.500
Mg: 0.803 0.068 0.500
Mg: 0.932 0.803 0.500

* V: 571.3 Å³/cell
* energy: -30.74 eV/f.u.
* size of the total moment: 0.000 Bohr magnetons per cell
* E_form: 0.051 eV/atom

***

Record 5
Compound: Ca8Tl2Bi
Source: Alexandria
Functional: GGA-PBE
Structure: relaxed

Cell lengths 10.004, 10.004, 7.692 Å; angles 109.06, 109.06, 31.39 degrees
Fractional coordinates of all 11 atoms:
Ca: 0.027 0.027 0.272
Ca: 0.202 0.202 0.803
Ca: 0.332 0.332 0.545
Ca: 0.403 0.403 0.046
Ca: 0.597 0.597 0.954
Ca: 0.668 0.668 0.455
Ca: 0.798 0.798 0.197
Ca: 0.973 0.973 0.728
Tl: 0.181 0.181 0.196
Tl: 0.819 0.819 0.804
Bi: 0.500 0.500 0.500

* V: 377.2 Å³/cell
* energy: -28.72 eV/f.u.
* size of the total moment: 0.000 Bohr magnetons per cell
* E_form: -0.372 eV/atom
* energy relative to the lowest polymorph listed for this composition: 0.00 eV per formula unit

***

Record 6
Compound: ScTeRuO6
Source: Alexandria
Functional: GGA-PBE
Structure: relaxed

Cell lengths 5.278, 5.278, 8.677 Å; angles 90.00, 90.00, 120.00 degrees
Fractional coordinates of all 18 atoms:
Sc: 0.333 0.667 0.250
Sc: 0.667 0.333 0.750
Te: 0.333 0.667 0.750
Te: 0.667 0.333 0.250
Ru: 0.000 0.000 0.000
Ru: 0.000 0.000 0.500
O: 0.015 0.342 0.627
O: 0.015 0.673 0.873
O: 0.327 0.342 0.873
O: 0.327 0.985 0.627
O: 0.342 0.015 0.127
O: 0.342 0.327 0.373
O: 0.658 0.673 0.627
O: 0.658 0.985 0.873
O: 0.673 0.015 0.373
O: 0.673 0.658 0.127
O: 0.985 0.327 0.127
O: 0.985 0.658 0.373

* V: 209.3 Å³/cell
* energy: -61.94 eV/f.u.
* size of the total moment: 2.037 Bohr magnetons per cell
* formation energy without anion corrections: -1.4940 eV/atom

***

Record 7
Compound: Li6F5
Source: Alexandria
Functional: GGA-PBE
Structure: relaxed

Cell lengths 5.045, 5.045, 5.049 Å; angles 99.67, 99.67, 119.93 degrees
Fractional coordinates of all 11 atoms:
Li: 0.074 0.416 0.748
Li: 0.243 0.243 0.258
Li: 0.416 0.074 0.748
Li: 0.584 0.926 0.252
Li: 0.757 0.757 0.742
Li: 0.926 0.584 0.252
F: 0.000 0.000 0.500
F: 0.167 0.833 0.000
F: 0.332 0.668 0.500
F: 0.668 0.332 0.500
F: 0.833 0.167 0.000

* V: 104.9 Å³/cell
* energy: -49.33 eV/f.u.
* size of the total moment: 1.001 Bohr magnetons per cell
* formation energy without anion corrections: -2.5900 eV/atom

***

Record 8
Compound: PrThGeAu
Source: Alexandria
Functional: GGA-PBE
Structure: relaxed

Cell lengths 5.262, 5.262, 5.262 Å; angles 60.00, 60.00, 60.00 degrees
Fractional coordinates of all 4 atoms:
Pr: 0.000 0.000 0.000
Th: 0.500 0.500 0.500
Ge: 0.750 0.750 0.750
Au: 0.250 0.250 0.250

* V: 103.0 Å³/cell
* energy: -22.48 eV/f.u.
* size of the total moment: 0.000 Bohr magnetons per cell
* E_form: -0.596 eV/atom
* energy relative to the lowest polymorph listed for this composition: 0.48 eV per formula unit

***

Record 9
Compound: Nd6GaHg2
Source: Alexandria
Functional: GGA-PBE
Structure: relaxed

Cell lengths 9.026, 9.026, 3.807 Å; angles 90.00, 90.00, 120.00 degrees
Fractional coordinates of all 9 atoms:
Nd: 0.000 0.396 0.000
Nd: 0.000 0.734 0.500
Nd: 0.266 0.266 0.500
Nd: 0.396 0.000 0.000
Nd: 0.604 0.604 0.000
Nd: 0.734 0.000 0.500
Ga: 0.000 0.000 0.000
Hg: 0.333 0.667 0.500
Hg: 0.667 0.333 0.500

* V: 268.6 Å³/cell
* energy: -35.05 eV/f.u.
* size of the total moment: 0.000 Bohr magnetons per cell
* E_form: -0.313 eV/atom
* energy relative to the lowest polymorph listed for this composition: 0.00 eV per formula unit

***

Record 10
Compound: As2Se
Source: Alexandria
Functional: GGA-PBE
Structure: relaxed

Cell lengths 6.138, 6.138, 8.371 Å; angles 95.50, 95.50, 33.80 degrees
Fractional coordinates of all 6 atoms:
As: 0.169 0.169 0.013
As: 0.212 0.212 0.586
As: 0.788 0.788 0.414
As: 0.831 0.831 0.987
Se: 0.387 0.387 0.775
Se: 0.613 0.613 0.225

* V: 174.6 Å³/cell
* energy: -12.50 eV/f.u.
* size of the total moment: 0.000 Bohr magnetons per cell
* formation energy without anion corrections: 0.0956 eV/atom
* energy relative to the lowest polymorph listed for this composition: 0.17 eV per formula unit